(1)
DFT (PBE) results for an optimized crystal structure of LaAlZnHg.

uncorrected energy = -2.87 eV/atom
magnetization = 0.00 μB/f.u.
space group = F-43m, No. 216

a b c (Å): 5.0696 5.0696 5.0696
angles (deg): 60.00 60.00 60.00
With the nearest neighbours (Å) after each atom.
Fractional coordinates of all 4 atoms:
La 0.0000 0.0000 0.0000  4 Hg 3.10, 4 Zn 3.10
Hg 0.2500 0.2500 0.2500  4 La 3.10, 4 Al 3.10
Al 0.5000 0.5000 0.5000  4 Zn 3.10, 4 Hg 3.10
Zn 0.7500 0.7500 0.7500  4 Al 3.10, 4 La 3.10


(2)
DFT (PBE) results for an optimized crystal structure of CeTmPdRu.

uncorrected energy = -6.79 eV/atom
magnetization = 0.48 μB/f.u.
space group = F-43m, No. 216

a b c (Å): 4.8984 4.8984 4.8984
angles (deg): 60.00 60.00 60.00
With the nearest neighbours (Å) after each atom.
Fractional coordinates of all 4 atoms:
Ce 0.5000 0.5000 0.5000  4 Ru 3.00, 4 Pd 3.00
Tm 0.0000 0.0000 0.0000  4 Ru 3.00, 4 Pd 3.00
Ru 0.7500 0.7500 0.7500  4 Tm 3.00, 4 Ce 3.00
Pd 0.2500 0.2500 0.2500  4 Tm 3.00, 4 Ce 3.00


(3)
DFT (PBE) results for an optimized crystal structure of Sr2BeAlAs.

uncorrected energy = -3.07 eV/atom
magnetization = 0.00 μB/f.u.
space group = P4/mmm, No. 123

a b c (Å): 6.0745 3.9393 6.0745
angles (deg): 90.00 90.00 90.00
With the nearest neighbours (Å) after each atom.
Fractional coordinates of all 5 atoms:
Sr 0.5000 0.0000 0.0000  2 Be 3.04
Be 0.0000 0.0000 0.0000  2 As 1.97
As 0.0000 0.5000 0.0000  2 Be 1.97
Al 0.5000 0.5000 0.5000  8 Sr 3.62, 2 Al 3.94
Sr 0.0000 0.0000 0.5000  2 Be 3.04


(4)
DFT (PBE) results for an optimized crystal structure of FeMo2.

uncorrected energy = -9.81 eV/atom
magnetization = 0.01 μB/f.u.
space group = P-62m, No. 189

a b c (Å): 6.9594 6.9594 3.0548
angles (deg): 90.00 90.00 120.00
With the nearest neighbours (Å) after each atom.
Fractional coordinates of all 9 atoms:
Fe 0.0000 0.0000 0.5000  6 Mo 2.40
Fe 0.6667 0.3333 0.0000  9 Mo 2.59-2.62
Mo 0.3985 0.3985 0.5000  5 Fe 2.62-2.77, 6 Mo 2.79-2.88
Mo 0.7345 0.7345 0.0000  4 Fe 2.40-2.59
Fe 0.3333 0.6667 0.0000  9 Mo 2.59-2.62
Mo 0.0000 0.2655 0.0000  4 Fe 2.40-2.59
Mo 0.0000 0.6015 0.5000  5 Fe 2.62-2.77, 6 Mo 2.79-2.88
Mo 0.6015 0.0000 0.5000  5 Fe 2.62-2.77, 6 Mo 2.79-2.88
Mo 0.2655 0.0000 0.0000  4 Fe 2.40-2.59


Repeat the third record exactly.
DFT (PBE) results for an optimized crystal structure of Sr2BeAlAs.

uncorrected energy = -3.07 eV/atom
magnetization = 0.00 μB/f.u.
space group = P4/mmm, No. 123

a b c (Å): 6.0745 3.9393 6.0745
angles (deg): 90.00 90.00 90.00
With the nearest neighbours (Å) after each atom.
Fractional coordinates of all 5 atoms:
Sr 0.5000 0.0000 0.0000  2 Be 3.04
Be 0.0000 0.0000 0.0000  2 As 1.97
As 0.0000 0.5000 0.0000  2 Be 1.97
Al 0.5000 0.5000 0.5000  8 Sr 3.62, 2 Al 3.94
Sr 0.0000 0.0000 0.5000  2 Be 3.04


Q: Look up the uncorrected energy of the fourth one.
A: -9.81 eV/atom


Q: Among the records above, which one has the highest magnetization?
A: CeTmPdRu


Q: What is the magnetization in the fourth record?
A: 0.01 μB/f.u.